Computed, not measured: crystalline PrErCdSi at its relaxed geometry at the GGA-PBE level of DFT.

Values from the calculation:
Total moment, μB/cell: 0.00
Total DFT energy (no corrections), eV per atom: -4.28
DOS(E_F), states/eV per cell: 2.404

Cell and atoms, written as extended XYZ:
```
4
Lattice="0.000 3.668 3.668 3.668 0.000 3.668 3.668 3.668 0.000" Properties=species:S:1:pos:R:3 pbc="T T T"
Pr 0.000 0.000 0.000
Er 3.668 3.668 3.668
Cd 1.834 1.834 1.834
Si 5.502 5.502 5.502
```

***

Computed, not measured: crystalline PrSmErCd at its relaxed geometry at the GGA-PBE level of DFT.

Values from the calculation:
Total moment, μB/cell: 0.00
Energy relative to the elements, eV per atom: -0.047
Total DFT energy (no corrections), eV per atom: -3.79
Energy relative to the lowest polymorph listed for this composition, meV per atom: 99
DOS(E_F), states/eV per cell: 5.395

Cell and atoms, written as extended XYZ:
```
4
Lattice="0.000 3.918 3.918 3.918 0.000 3.918 3.918 3.918 0.000" Properties=species:S:1:pos:R:3 pbc="T T T"
Pr 0.000 0.000 0.000
Sm 3.918 3.918 3.918
Er 1.959 1.959 1.959
Cd 5.878 5.878 5.878
```

***

Computed, not measured: crystalline PrSmErCd at its relaxed geometry at the GGA-PBE level of DFT.

Values from the calculation:
Total moment, μB/cell: 0.00
Energy relative to the elements, eV per atom: -0.146
Total DFT energy (no corrections), eV per atom: -3.89
Energy relative to the lowest polymorph listed for this composition, meV per atom: 0
DOS(E_F), states/eV per cell: 4.796

Cell and atoms, written as extended XYZ:
```
4
Lattice="3.686 0.000 0.000 0.000 3.686 0.000 0.000 0.000 8.965" Properties=species:S:1:pos:R:3 pbc="T T T"
Pr 0.000 0.000 0.000
Sm 1.843 1.843 6.401
Er 1.843 1.843 2.481
Cd 0.000 0.000 4.342
```

***

Computed, not measured: crystalline PrErCdSn at its relaxed geometry at the GGA-PBE level of DFT.

Values from the calculation:
Total moment, μB/cell: 0.00
Energy relative to the elements, eV per atom: -0.496
Total DFT energy (no corrections), eV per atom: -4.06
DOS(E_F), states/eV per cell: 2.587

Cell and atoms, written as extended XYZ:
```
4
Lattice="0.000 3.795 3.795 3.795 0.000 3.795 3.795 3.795 0.000" Properties=species:S:1:pos:R:3 pbc="T T T"
Pr 0.000 0.000 0.000
Er 3.795 3.795 3.795
Cd 5.693 5.693 5.693
Sn 1.898 1.898 1.898
```

***

Computed, not measured: crystalline PrEr2Tl2Cd2 at its relaxed geometry at the GGA-PBE level of DFT.

Values from the calculation:
Total moment, μB/cell: 0.00
Energy relative to the elements, eV per atom: -0.172
Total DFT energy (no corrections), eV per atom: -3.10
DOS(E_F), states/eV per cell: 4.910

Cell and atoms, written as extended XYZ:
```
7
Lattice="2.521 1.456 8.763 -2.521 1.456 8.763 0.000 -2.911 8.763" Properties=species:S:1:pos:R:3 pbc="T T T"
Pr 0.000 0.000 0.000
Er 0.000 0.000 3.541
Er 0.000 0.000 22.747
Tl 0.000 0.000 7.004
Tl 0.000 0.000 19.284
Cd 0.000 0.000 11.431
Cd 0.000 0.000 14.857
```

***

Computed, not measured: crystalline PrErTlCd at its relaxed geometry at the GGA-PBE level of DFT.

Values from the calculation:
Total moment, μB/cell: 0.00
Energy relative to the elements, eV per atom: -0.274
Total DFT energy (no corrections), eV per atom: -3.43
Energy relative to the lowest polymorph listed for this composition, meV per atom: 61
DOS(E_F), states/eV per cell: 3.599

Cell and atoms, written as extended XYZ:
```
4
Lattice="-2.411 2.411 4.793 2.411 -2.411 4.793 2.411 2.411 -4.793" Properties=species:S:1:pos:R:3 pbc="T T T"
Pr 0.000 0.000 0.000
Er 0.000 0.000 4.793
Tl 2.411 0.000 2.397
Cd 0.000 2.411 2.397
```

***

Computed, not measured: crystalline PrErTlCd at its relaxed geometry at the GGA-PBE level of DFT.

Values from the calculation:
Total moment, μB/cell: 0.00
Energy relative to the elements, eV per atom: -0.335
Total DFT energy (no corrections), eV per atom: -3.49
Energy relative to the lowest polymorph listed for this composition, meV per atom: 0
DOS(E_F), states/eV per cell: 4.634

Cell and atoms, written as extended XYZ:
```
4
Lattice="0.000 3.831 3.831 3.831 0.000 3.831 3.831 3.831 0.000" Properties=species:S:1:pos:R:3 pbc="T T T"
Pr 0.000 0.000 0.000
Er 3.831 3.831 3.831
Tl 5.747 5.747 5.747
Cd 1.916 1.916 1.916
```

***

Computed, not measured: crystalline PrEr2TmCd4 at its relaxed geometry at the GGA-PBE level of DFT.

Values from the calculation:
Total moment, μB/cell: 0.01
Energy relative to the elements, eV per atom: -0.306
Total DFT energy (no corrections), eV per atom: -3.06
DOS(E_F), states/eV per cell: 8.438

Cell and atoms, written as extended XYZ:
```
8
Lattice="2.652 1.531 8.700 -2.652 1.531 8.700 0.000 -3.062 8.700" Properties=species:S:1:pos:R:3 pbc="T T T"
Pr 0.000 0.000 0.000
Er 0.000 0.000 6.485
Er 0.000 0.000 19.614
Tm 0.000 0.000 13.050
Cd 0.000 0.000 3.310
Cd 0.000 0.000 9.858
Cd 0.000 0.000 16.241
Cd 0.000 0.000 22.789
```

***

Computed, not measured: crystalline PrErTm2Cd4 at its relaxed geometry at the GGA-PBE level of DFT.

Values from the calculation:
Total moment, μB/cell: 0.01
Energy relative to the elements, eV per atom: -0.305
Total DFT energy (no corrections), eV per atom: -3.05
DOS(E_F), states/eV per cell: 8.009

Cell and atoms, written as extended XYZ:
```
8
Lattice="2.650 1.530 8.684 -2.650 1.530 8.684 0.000 -3.060 8.684" Properties=species:S:1:pos:R:3 pbc="T T T"
Pr 0.000 0.000 0.000
Er 0.000 0.000 13.026
Tm 0.000 0.000 6.480
Tm 0.000 0.000 19.573
Cd 0.000 0.000 3.304
Cd 0.000 0.000 9.836
Cd 0.000 0.000 16.217
Cd 0.000 0.000 22.749
```

***

Computed, not measured: crystalline PrErZnCd at its relaxed geometry at the GGA-PBE level of DFT.

Values from the calculation:
Total moment, μB/cell: 0.00
Energy relative to the elements, eV per atom: -0.322
Total DFT energy (no corrections), eV per atom: -3.20
Energy relative to the lowest polymorph listed for this composition, meV per atom: 0
DOS(E_F), states/eV per cell: 3.936

Cell and atoms, written as extended XYZ:
```
4
Lattice="3.634 0.000 0.000 0.000 3.634 0.000 0.000 0.000 7.725" Properties=species:S:1:pos:R:3 pbc="T T T"
Pr 0.000 0.000 0.000
Er 0.000 0.000 3.562
Zn 1.817 1.817 1.963
Cd 1.817 1.817 5.485
```

***

Computed, not measured: crystalline PrErZnCd at its relaxed geometry at the GGA-PBE level of DFT.

Values from the calculation:
Total moment, μB/cell: 0.02
Energy relative to the elements, eV per atom: -0.289
Total DFT energy (no corrections), eV per atom: -3.17
Energy relative to the lowest polymorph listed for this composition, meV per atom: 33
DOS(E_F), states/eV per cell: 4.862

Cell and atoms, written as extended XYZ:
```
4
Lattice="0.000 3.725 3.725 3.725 0.000 3.725 3.725 3.725 0.000" Properties=species:S:1:pos:R:3 pbc="T T T"
Pr 0.000 0.000 0.000
Er 3.725 3.725 3.725
Zn 1.862 1.862 1.862
Cd 5.587 5.587 5.587
```

***

Computed, not measured: crystalline Er6CdPt2 at its relaxed geometry at the GGA-PBE level of DFT.

Values from the calculation:
Total moment, μB/cell: 0.00
Energy relative to the elements, eV per atom: -0.707
Total DFT energy (no corrections), eV per atom: -5.19
DOS(E_F), states/eV per cell: 18.724

Cell and atoms, written as extended XYZ:
```
18
Lattice="-4.672 4.788 5.198 4.672 -4.788 5.198 4.672 4.788 -5.198" Properties=species:S:1:pos:R:3 pbc="T T T"
Er 4.672 2.878 -2.723
Er 2.700 1.751 0.000
Er 6.643 1.751 0.000
Er 1.859 4.788 -1.771
Er 2.812 0.000 3.427
Er 0.000 1.911 2.475
Er 4.672 2.878 2.723
Er 1.859 4.788 1.771
Er 2.812 0.000 6.968
Er -1.972 3.037 5.198
Er 1.972 3.037 5.198
Er 0.000 1.911 7.921
Cd 0.000 0.000 0.000
Cd 0.000 0.000 5.198
Pt 4.672 0.000 1.404
Pt 0.000 3.235 0.000
Pt 0.000 6.342 0.000
Pt 0.000 4.788 3.794
```